VASP calculation (PBE-GGA) on a relaxed Pm3Pr2Hg4 crystal.

Geometry as POSCAR:
```
Pm3Pr2Hg4
1.0
3.5583 -9.1340 0.0000
3.5583 9.1340 0.0000
0.0000 0.0000 8.4087
Pm Pr Hg
6 4 8
direct
0.0000 0.0000 0.0000 Pm
0.0101 0.4899 0.2500 Pm
0.4899 0.0101 0.7500 Pm
0.5000 0.5000 0.5000 Pm
0.5101 0.9899 0.2500 Pm
0.9899 0.5101 0.7500 Pm
0.0947 0.9053 0.4145 Pr
0.4053 0.5947 0.9145 Pr
0.5947 0.4053 0.0855 Pr
0.9053 0.0947 0.5855 Pr
0.1670 0.8330 0.0280 Hg
0.1838 0.3162 0.2500 Hg
0.3162 0.1838 0.7500 Hg
0.3330 0.6670 0.5280 Hg
0.6670 0.3330 0.4720 Hg
0.6838 0.8162 0.2500 Hg
0.8162 0.6838 0.7500 Hg
0.8330 0.1670 0.9720 Hg
```

Calculated values
DFT formation energy ... -0.329 eV/atom
SG ... Cmce, No. 64
Calculated volume ... 30.37 Å³ per atom